# KSc2Re, optimized geometry, DFT PBE
# ΔE_f in eV per atom: 0.155
# Calculated volume in Å³ per cell: 111
# Size of the total moment in μB/cell: 0.000
data_KSc2Re
_chemical_formula_sum 'K1 Sc2 Re1'
_space_group_name_H-M_alt 'P 1 2/m 1'
_space_group_IT_number 10
_cell_length_a 3.326
_cell_length_b 3.325
_cell_length_c 10.008
_cell_angle_alpha 90.00
_cell_angle_beta 90.40
_cell_angle_gamma 90.00
loop_
_space_group_symop_operation_xyz
'x,y,z'
'-x,-y,-z'
'-x,y,-z'
'x,-y,z'
loop_
_atom_site_label
_atom_site_fract_x
_atom_site_fract_y
_atom_site_fract_z
_atom_site_occupancy
K1 0.000 0.000 0.000 1
Sc1 0.497 0.500 0.350 1
Re1 0.000 0.000 0.500 1

=====

# K2ScRe, optimized geometry, DFT PBE
# ΔE_f in eV per atom: 1.321
# Calculated volume in Å³ per cell: 206
# Size of the total moment in μB/cell: 0.876
data_K2ScRe
_chemical_formula_sum 'K4 Sc2 Re2'
_space_group_name_H-M_alt 'C m m m'
_space_group_IT_number 65
_space_group_name_Hall '-C 2 2'
_cell_length_a 5.629
_cell_length_b 12.547
_cell_length_c 2.919
_cell_angle_alpha 90.00
_cell_angle_beta 90.00
_cell_angle_gamma 90.00
loop_
_atom_site_label
_atom_site_fract_x
_atom_site_fract_y
_atom_site_fract_z
_atom_site_occupancy
K1 0.250 0.250 0.000 1
Sc1 0.000 0.000 0.500 1
Re1 0.000 0.500 0.500 1

=====

# KScRe2, optimized geometry, DFT PBE
# ΔE_f in eV per atom: 0.460
# Calculated volume in Å³ per cell: 94
# Size of the total moment in μB/cell: 0.221
data_KScRe2
_chemical_formula_sum 'K1 Sc1 Re2'
_space_group_name_H-M_alt 'P 4 m m'
_space_group_IT_number 99
_cell_length_a 3.103
_cell_length_b 3.103
_cell_length_c 9.803
_cell_angle_alpha 90.00
_cell_angle_beta 90.00
_cell_angle_gamma 90.00
loop_
_space_group_symop_operation_xyz
'x,y,z'
'-y,x,z'
'-x,-y,z'
'y,-x,z'
'-x,y,z'
'y,x,z'
'x,-y,z'
'-y,-x,z'
loop_
_atom_site_label
_atom_site_fract_x
_atom_site_fract_y
_atom_site_fract_z
_atom_site_occupancy
K1 0.000 0.000 0.000 1
Sc1 0.500 0.500 0.620 1
Re1 0.000 0.000 0.431 1
Re2 0.500 0.500 0.293 1

=====

# KSc2Re, optimized geometry, DFT PBE
# ΔE_f in eV per atom: 0.923
# Calculated volume in Å³ per cell: 172
# Size of the total moment in μB/cell: 0.000
data_KSc2Re
_chemical_formula_sum 'K2 Sc4 Re2'
_space_group_name_H-M_alt 'C m m m'
_space_group_IT_number 65
_space_group_name_Hall '-C 2 2'
_cell_length_a 6.771
_cell_length_b 8.352
_cell_length_c 3.050
_cell_angle_alpha 90.00
_cell_angle_beta 90.00
_cell_angle_gamma 90.00
loop_
_atom_site_label
_atom_site_fract_x
_atom_site_fract_y
_atom_site_fract_z
_atom_site_occupancy
K1 0.000 0.000 0.000 1
Sc1 0.250 0.250 0.500 1
Re1 0.000 0.500 0.000 1

=====

# KScRe2, optimized geometry, DFT PBE
# ΔE_f in eV per atom: 1.159
# Calculated volume in Å³ per cell: 73
# Size of the total moment in μB/cell: 0.000
data_KScRe2
_chemical_formula_sum 'K1 Sc1 Re2'
_space_group_name_H-M_alt 'P m m m'
_space_group_IT_number 47
_cell_length_a 3.315
_cell_length_b 4.289
_cell_length_c 5.152
_cell_angle_alpha 90.00
_cell_angle_beta 90.00
_cell_angle_gamma 90.00
loop_
_space_group_symop_operation_xyz
'x,y,z'
'-x,-y,-z'
'-x,-y,z'
'x,y,-z'
'x,-y,-z'
'-x,y,z'
'-x,y,-z'
'x,-y,z'
loop_
_atom_site_label
_atom_site_fract_x
_atom_site_fract_y
_atom_site_fract_z
_atom_site_occupancy
K1 0.000 0.000 0.000 1
Sc1 0.500 0.500 0.000 1
Re1 0.000 0.500 0.500 1
Re2 0.500 0.000 0.500 1

=====

# K3ScRe, optimized geometry, DFT PBE
# ΔE_f in eV per atom: 2.024
# Calculated volume in Å³ per cell: 225
# Size of the total moment in μB/cell: 0.002
data_K3ScRe
_chemical_formula_sum 'K3 Sc1 Re1'
_space_group_name_H-M_alt 'P m -3 m'
_space_group_IT_number 221
_space_group_name_Hall '-P 4 2 3'
_cell_length_a 6.085
_cell_length_b 6.085
_cell_length_c 6.085
_cell_angle_alpha 90.00
_cell_angle_beta 90.00
_cell_angle_gamma 90.00
loop_
_atom_site_label
_atom_site_fract_x
_atom_site_fract_y
_atom_site_fract_z
_atom_site_occupancy
K1 0.000 0.000 0.500 1
Sc1 0.500 0.500 0.500 1
Re1 0.000 0.000 0.000 1

=====

# KScRe, optimized geometry, DFT PBE
# ΔE_f in eV per atom: 2.373
# Calculated volume in Å³ per cell: 321
# Size of the total moment in μB/cell: 8.910
data_KScRe
_chemical_formula_sum 'K4 Sc4 Re4'
_space_group_name_H-M_alt 'F -4 3 m'
_space_group_IT_number 216
_space_group_name_Hall 'F -4 2 3'
_cell_length_a 6.844
_cell_length_b 6.844
_cell_length_c 6.844
_cell_angle_alpha 90.00
_cell_angle_beta 90.00
_cell_angle_gamma 90.00
loop_
_atom_site_label
_atom_site_fract_x
_atom_site_fract_y
_atom_site_fract_z
_atom_site_occupancy
K1 0.000 0.000 0.000 1
Sc1 0.250 0.250 0.750 1
Re1 0.250 0.250 0.250 1

=====

# KScRe2, optimized geometry, DFT PBE
# ΔE_f in eV per atom: 0.813
# Calculated volume in Å³ per cell: 229
# Size of the total moment in μB/cell: 0.000
data_KScRe2
_chemical_formula_sum 'K3 Sc3 Re6'
_space_group_name_H-M_alt 'R -3 m'
_space_group_IT_number 166
_space_group_name_Hall '-R 3 2"'
_cell_length_a 2.8690
_cell_length_b 2.8690
_cell_length_c 32.0724
_cell_angle_alpha 90.00
_cell_angle_beta 90.00
_cell_angle_gamma 120.00
loop_
_atom_site_label
_atom_site_fract_x
_atom_site_fract_y
_atom_site_fract_z
_atom_site_occupancy
K1 0.0000 0.0000 0.0000 1
Sc1 0.0000 0.0000 0.5000 1
Re1 0.0000 0.0000 0.2402 1

=====

The highest ΔE_f belongs to which entry? KScRe

=====

What did the fifth record say?
# KScRe2, optimized geometry, DFT PBE
# ΔE_f in eV per atom: 1.159
# Calculated volume in Å³ per cell: 73
# Size of the total moment in μB/cell: 0.000
data_KScRe2
_chemical_formula_sum 'K1 Sc1 Re2'
_space_group_name_H-M_alt 'P m m m'
_space_group_IT_number 47
_cell_length_a 3.315
_cell_length_b 4.289
_cell_length_c 5.152
_cell_angle_alpha 90.00
_cell_angle_beta 90.00
_cell_angle_gamma 90.00
loop_
_space_group_symop_operation_xyz
'x,y,z'
'-x,-y,-z'
'-x,-y,z'
'x,y,-z'
'x,-y,-z'
'-x,y,z'
'-x,y,-z'
'x,-y,z'
loop_
_atom_site_label
_atom_site_fract_x
_atom_site_fract_y
_atom_site_fract_z
_atom_site_occupancy
K1 0.000 0.000 0.000 1
Sc1 0.500 0.500 0.000 1
Re1 0.000 0.500 0.500 1
Re2 0.500 0.000 0.500 1